Entry 1:
{
  "formula": "PuAlGaAu6",
  "functional": "PBE",
  "state": "optimized geometry",
  "e_form_mev_per_atom": -198,
  "rho_g_cm3": 13.64,
  "lattice_angstrom": [[-4.913, 0.024, 7.875], [-3.394, -6.201, -2.099], [8.014, 0.157, -0.470]],
  "species": ["Pu", "Pu", "Al", "Al", "Ga", "Ga", "Au", "Au", "Au", "Au", "Au", "Au", "Au", "Au", "Au", "Au", "Au", "Au"],
  "frac_coords": [[0.037, 0.787, 0.074], [0.963, 0.213, 0.926], [0.500, 0.000, 0.500], [0.000, 0.000, 0.500], [0.500, 0.500, 0.000], [0.500, 0.000, 0.000], [0.271, 0.521, 0.541], [0.665, 0.915, 0.330], [0.889, 0.175, 0.246], [0.356, 0.571, 0.246], [0.356, 0.175, 0.246], [0.889, 0.571, 0.246], [0.729, 0.479, 0.459], [0.335, 0.085, 0.670], [0.111, 0.825, 0.754], [0.644, 0.429, 0.754], [0.644, 0.825, 0.754], [0.111, 0.429, 0.754]]
}



Entry 2:
{
  "formula": "PuAl2Ga2Au2",
  "functional": "PBE",
  "state": "optimized geometry",
  "e_form_mev_per_atom": -299,
  "rho_g_cm3": 10.26,
  "lattice_angstrom": [[-1.206, -2.656, 3.361], [3.088, -1.669, 2.736], [-0.132, 4.816, 6.705]],
  "species": ["Pu", "Al", "Al", "Ga", "Ga", "Au", "Au"],
  "frac_coords": [[0.000, 0.000, 0.000], [0.136, 0.136, 0.591], [0.864, 0.864, 0.409], [0.738, 0.738, 0.785], [0.262, 0.262, 0.215], [0.569, 0.569, 0.293], [0.431, 0.431, 0.707]]
}



Entry 3:
{
  "formula": "Pu2AlGaAu6",
  "functional": "PBE",
  "state": "optimized geometry",
  "e_form_mev_per_atom": -304,
  "rho_g_cm3": 13.30,
  "lattice_angstrom": [[-5.961, -2.728, -1.321], [-3.822, -2.265, 4.998], [-8.151, 8.583, 2.130]],
  "species": ["Pu", "Pu", "Pu", "Pu", "Al", "Al", "Ga", "Ga", "Au", "Au", "Au", "Au", "Au", "Au", "Au", "Au", "Au", "Au", "Au", "Au"],
  "frac_coords": [[0.889, 0.889, 0.334], [0.111, 0.111, 0.666], [0.717, 0.717, 0.850], [0.283, 0.283, 0.150], [0.000, 0.000, 0.000], [0.500, 0.500, 0.500], [0.574, 0.574, 0.277], [0.426, 0.426, 0.723], [0.924, 0.338, 0.399], [0.338, 0.924, 0.399], [0.338, 0.338, 0.399], [0.076, 0.662, 0.601], [0.662, 0.076, 0.601], [0.662, 0.662, 0.601], [0.658, 0.223, 0.897], [0.223, 0.658, 0.897], [0.223, 0.223, 0.897], [0.342, 0.777, 0.103], [0.777, 0.342, 0.103], [0.777, 0.777, 0.103]]
}



Entry 4:
{
  "formula": "Pu2Al4Ga3Au",
  "functional": "PBE",
  "state": "optimized geometry",
  "e_form_mev_per_atom": -337,
  "rho_g_cm3": 8.52,
  "lattice_angstrom": [[4.215, 0.000, 0.000], [0.000, 4.215, 0.000], [0.000, 0.000, 10.990]],
  "species": ["Pu", "Pu", "Al", "Al", "Al", "Al", "Ga", "Ga", "Ga", "Au"],
  "frac_coords": [[0.500, 0.000, 0.244], [0.000, 0.500, 0.756], [0.500, 0.500, 0.000], [0.000, 0.000, 0.000], [0.500, 0.000, 0.635], [0.000, 0.500, 0.365], [0.000, 0.000, 0.500], [0.500, 0.000, 0.859], [0.000, 0.500, 0.141], [0.500, 0.500, 0.500]]
}



Entry 5:
{
  "formula": "Pu2AlGa4Au3",
  "functional": "PBE",
  "state": "optimized geometry",
  "e_form_mev_per_atom": -400,
  "rho_g_cm3": 11.34,
  "lattice_angstrom": [[4.252, 0.000, 0.000], [0.000, 4.252, 0.000], [0.000, 0.000, 11.217]],
  "species": ["Pu", "Pu", "Al", "Ga", "Ga", "Ga", "Ga", "Au", "Au", "Au"],
  "frac_coords": [[0.500, 0.000, 0.254], [0.000, 0.500, 0.746], [0.500, 0.500, 0.500], [0.500, 0.500, 0.000], [0.000, 0.000, 0.000], [0.500, 0.000, 0.639], [0.000, 0.500, 0.361], [0.000, 0.000, 0.500], [0.500, 0.000, 0.863], [0.000, 0.500, 0.137]]
}



Entry 6:
{
  "formula": "Pu2Al3Ga4Au",
  "functional": "PBE",
  "state": "optimized geometry",
  "e_form_mev_per_atom": -311,
  "rho_g_cm3": 8.88,
  "lattice_angstrom": [[-0.655, -2.317, 3.462], [-3.099, -2.071, -1.972], [7.257, -7.431, -3.601]],
  "species": ["Pu", "Pu", "Al", "Al", "Al", "Ga", "Ga", "Ga", "Ga", "Au"],
  "frac_coords": [[0.500, 0.000, 0.241], [0.000, 0.500, 0.759], [0.000, 0.000, 0.500], [0.500, 0.000, 0.863], [0.000, 0.500, 0.137], [0.500, 0.500, 0.000], [0.000, 0.000, 0.000], [0.500, 0.000, 0.641], [0.000, 0.500, 0.359], [0.500, 0.500, 0.500]]
}